# Na2Pd2PtSe6 PBE relaxed
# Uncorrected formation energy, eV/atom: -0.48
# Volume, Å³/atom: 23.8
data_Na2Pd2PtSe6
_space_group_name_H-M_alt 'C 1 2/m 1'
_space_group_IT_number 12
_space_group_name_Hall '-C 2y'
_cell_length_a 6.6390
_cell_length_b 11.3927
_cell_length_c 7.3006
_cell_angle_alpha 90.00
_cell_angle_beta 108.21
_cell_angle_gamma 90.00
loop_
_atom_site_label
_atom_site_type_symbol
_atom_site_fract_x
_atom_site_fract_y
_atom_site_fract_z
Na1 Na 0.0000 0.1666 0.0000
Pd1 Pd 0.0000 0.3332 0.5000
Pt1 Pt 0.0000 0.0000 0.5000
Se1 Se 0.2224 0.1660 0.6919
Se2 Se 0.2388 0.5000 0.6886

---

# Pr2Dy5Th5 PBE relaxed
# Formation energy from the elements, eV per formula unit: 0.6
# Volume, Å³/atom: 32.6
data_Pr2Dy5Th5
_space_group_name_H-M_alt 'C 1 2/m 1'
_space_group_IT_number 12
_space_group_name_Hall '-C 2y'
_cell_length_a 15.2584
_cell_length_b 5.0553
_cell_length_c 11.3581
_cell_angle_alpha 90.00
_cell_angle_beta 116.78
_cell_angle_gamma 90.00
loop_
_atom_site_label
_atom_site_type_symbol
_atom_site_fract_x
_atom_site_fract_y
_atom_site_fract_z
Pr1 Pr 0.0837 0.0000 0.2489
Dy1 Dy 0.0000 0.5000 0.0000
Dy2 Dy 0.0858 0.5000 0.7483
Dy3 Dy 0.1673 0.5000 0.5048
Th1 Th 0.0000 0.0000 0.5000
Th2 Th 0.1705 0.0000 0.0012
Th3 Th 0.2475 0.0000 0.7527

---

# Li2Cu3Ni2 PBE relaxed
# Formation energy from the elements, eV per formula unit: 0.0
# Energy relative to the lowest polymorph listed for this composition, eV per atom: 0.009
# Volume, Å³/atom: 12.0
data_Li2Cu3Ni2
_space_group_name_H-M_alt 'I m m m'
_space_group_IT_number 71
_space_group_name_Hall '-I 2 2'
_cell_length_a 2.5066
_cell_length_b 4.2333
_cell_length_c 15.8981
_cell_angle_alpha 90.00
_cell_angle_beta 90.00
_cell_angle_gamma 90.00
loop_
_atom_site_label
_atom_site_type_symbol
_atom_site_fract_x
_atom_site_fract_y
_atom_site_fract_z
Li1 Li 0.0000 0.0000 0.0876
Cu1 Cu 0.0000 0.5000 0.0000
Cu2 Cu 0.0000 0.5000 0.2707
Ni1 Ni 0.0000 0.0000 0.3650

---

Q: Number 3 is which compound?
A: Li2Cu3Ni2